VASP calculation (PBE) on a relaxed structure of BaNa3Se4O12.

Cell lengths 7.353, 7.353, 7.353 Å; angles 105.14, 105.14, 105.14 degrees
Each line ends with the local moment (μB).
Atoms (fractional coordinates):
Na  0.432  0.000  0.568  0.00
Na  0.000  0.568  0.432  0.00
Na  0.568  0.432  0.000  0.00
Se  0.920  0.080  0.500  0.06
Se  0.500  0.920  0.080  0.06
Se  0.080  0.500  0.920  0.06
Se  0.500  0.500  0.500  -0.08
O  0.994  0.639  0.772  0.16
O  0.500  0.357  0.643  -0.09
O  0.228  0.361  0.006  0.16
O  0.357  0.643  0.500  -0.09
O  0.064  0.936  0.500  0.01
O  0.361  0.006  0.228  0.16
O  0.639  0.772  0.994  0.16
O  0.643  0.500  0.357  -0.09
O  0.936  0.500  0.064  0.01
O  0.500  0.064  0.936  0.01
O  0.006  0.228  0.361  0.16
O  0.772  0.994  0.639  0.16
Ba  0.000  0.000  0.000  0.01

Summary:
Density of states at the Fermi level (states/eV/atom): 0.338
Magnetization (μB per formula unit): 1.0
Theoretical density (g cm⁻³): 3.4
Uncorrected formation energy (eV/atom): -0.9257


VASP calculation (PBE) on a relaxed structure of ErCu2Ni.

Cell lengths 4.010, 5.022, 6.736 Å; angles 90.00, 90.00, 113.53 degrees
Atoms (fractional coordinates):
Ni  0.786  0.572  0.750
Ni  0.214  0.428  0.250
Er  0.075  0.150  0.750
Er  0.925  0.850  0.250
Cu  0.637  0.274  0.441
Cu  0.363  0.726  0.941
Cu  0.637  0.274  0.059
Cu  0.363  0.726  0.559

Summary:
Formation enthalpy at 0 K (eV per atom): -0.285
Density of states at the Fermi level (states/eV/atom): 0.496
Magnetization (μB per formula unit): 0.0
Theoretical density (g cm⁻³): 9.4


VASP calculation (PBE) on a relaxed structure of Cs4LiBr5.

Cell lengths 7.355, 8.631, 8.631 Å; angles 79.54, 64.78, 64.78 degrees
Atoms (fractional coordinates):
Br  0.087  0.656  0.173
Br  0.743  0.173  0.344
Br  0.413  0.000  0.000
Br  0.260  0.827  0.656
Br  0.916  0.344  0.827
Li  0.071  0.000  0.000
Cs  0.413  0.390  0.793
Cs  0.804  0.793  0.610
Cs  0.597  0.610  0.207
Cs  0.207  0.207  0.390

Summary:
Density of states at the Fermi level (states/eV/atom): 0.000
Magnetization (μB per formula unit): 0.0
Theoretical density (g cm⁻³): 3.5
Uncorrected formation energy (eV/atom): -1.6778


VASP calculation (PBE) on a relaxed structure of SrDyY4Se8.

Cell lengths 8.539, 8.539, 8.536 Å; angles 59.99, 59.99, 60.00 degrees
Atoms (fractional coordinates):
Se  0.227  0.758  0.257
Se  0.236  0.236  0.737
Se  0.758  0.758  0.257
Se  0.237  0.237  0.290
Se  0.236  0.791  0.737
Se  0.758  0.227  0.257
Se  0.758  0.758  0.727
Se  0.791  0.236  0.737
Dy  0.002  0.002  0.994
Sr  0.375  0.375  0.875
Y  0.002  0.002  0.502
Y  0.495  0.002  0.502
Y  0.625  0.625  0.126
Y  0.002  0.495  0.502

Summary:
Density of states at the Fermi level (states/eV/atom): 0.307
Magnetization (μB per formula unit): 0.0
Theoretical density (g cm⁻³): 4.7
Uncorrected formation energy (eV/atom): -1.8052


VASP calculation (PBE) on a relaxed structure of Mg4InSn2.

Cell lengths 4.348, 4.348, 10.715 Å; angles 101.71, 101.71, 90.00 degrees
Atoms (fractional coordinates):
In  0.000  0.000  0.000
Mg  0.861  0.861  0.722
Mg  0.250  0.750  0.500
Mg  0.139  0.139  0.278
Mg  0.750  0.250  0.500
Sn  0.640  0.640  0.280
Sn  0.360  0.360  0.720

Summary:
Formation enthalpy at 0 K (eV per atom): 0.032
Density of states at the Fermi level (states/eV/atom): 0.381
Magnetization (μB per formula unit): 0.0
Theoretical density (g cm⁻³): 3.8


VASP calculation (PBE) on a relaxed structure of La4TbSm2.

Cell lengths 9.121, 9.919, 6.701 Å; angles 90.38, 95.56, 124.19 degrees
Atoms (fractional coordinates):
Sm  0.527  0.768  0.222
Sm  0.132  0.397  0.943
Sm  0.780  0.425  0.701
Sm  0.715  0.539  0.201
La  0.947  0.865  0.571
La  0.172  0.282  0.453
La  0.373  0.077  0.369
La  0.771  0.216  0.220
La  0.650  0.012  0.721
La  0.169  0.771  0.966
La  0.365  0.195  0.875
La  0.546  0.607  0.723
Tb  0.944  0.966  0.070
Tb  0.159  0.630  0.465

Summary:
Formation enthalpy at 0 K (eV per atom): 0.077
Density of states at the Fermi level (states/eV/atom): 1.571
Magnetization (μB per formula unit): 0.0
Theoretical density (g cm⁻³): 6.8


VASP calculation (PBE) on a relaxed structure of SmCuPb.

Cell lengths 3.494, 3.494, 6.398 Å; angles 105.84, 105.84, 90.00 degrees
Atoms (fractional coordinates):
Cu  0.284  0.284  0.568
Pb  0.928  0.928  0.856
Sm  0.638  0.638  0.276

Summary:
Formation enthalpy at 0 K (eV per atom): -0.159
Density of states at the Fermi level (states/eV/atom): 0.666
Magnetization (μB per formula unit): 0.0
Theoretical density (g cm⁻³): 9.7


VASP calculation (PBE) on a relaxed structure of ZnS5Br.

Cell lengths 5.052, 4.082, 12.343 Å; angles 93.09, 96.52, 122.93 degrees
Atoms (fractional coordinates):
Zn  0.811  0.311  0.620
S  0.104  0.605  0.210
S  0.331  0.007  0.102
S  0.769  0.095  0.102
S  0.509  0.257  0.763
S  0.255  0.505  0.763
Br  0.752  0.751  0.502

Summary:
Density of states at the Fermi level (states/eV/atom): 0.284
Magnetization (μB per formula unit): 0.0
Theoretical density (g cm⁻³): 2.4
Uncorrected formation energy (eV/atom): -0.1187